<P>
# SCAN Hg, single point on PBEsol structure
# - mass density (Mg/m³) = 13.66
# - total moment (μB/atom) = 0.00
data_Hg
_cell_length_a 3.129
_cell_length_b 5.299
_cell_length_c 2.941
_cell_angle_alpha 90.00
_cell_angle_beta 90.00
_cell_angle_gamma 90.00
_symmetry_space_group_name_H-M 'C m m m'
_symmetry_Int_Tables_number 65
_symmetry_space_group_name_Hall '-C 2 2'
loop_
_atom_site_label
_atom_site_type_symbol
_atom_site_fract_x
_atom_site_fract_y
_atom_site_fract_z
Hg1 Hg 0.000 0.000 0.000


<Q>
# SCAN Hg, single point on PBEsol structure
# - mass density (Mg/m³) = 14.06
# - total moment (μB/atom) = 0.00
data_Hg
_cell_length_a 4.178
_cell_length_b 5.169
_cell_length_c 3.014
_cell_angle_alpha 90.00
_cell_angle_beta 133.28
_cell_angle_gamma 90.00
_symmetry_space_group_name_H-M 'C 1 2/m 1'
_symmetry_Int_Tables_number 12
loop_
_symmetry_equiv_pos_as_xyz
'x,y,z'
'-x,-y,-z'
'-x,y,-z'
'x,-y,z'
'x+1/2,y+1/2,z'
'-x+1/2,-y+1/2,-z'
'-x+1/2,y+1/2,-z'
'x+1/2,-y+1/2,z'
loop_
_atom_site_label
_atom_site_type_symbol
_atom_site_fract_x
_atom_site_fract_y
_atom_site_fract_z
Hg1 Hg 0.000 0.000 0.000


Which of them is most stable? Easy: <P>.


<P>
# SCAN InHg2I, single point on PBEsol structure
# - mass density (Mg/m³) = 9.02
# - total moment (μB/atom) = 0.00
data_InHg2I
_cell_length_a 7.793
_cell_length_b 7.793
_cell_length_c 7.793
_cell_angle_alpha 90.00
_cell_angle_beta 90.00
_cell_angle_gamma 90.00
_symmetry_space_group_name_H-M 'F m -3 m'
_symmetry_Int_Tables_number 225
_symmetry_space_group_name_Hall '-F 4 2 3'
loop_
_atom_site_label
_atom_site_type_symbol
_atom_site_fract_x
_atom_site_fract_y
_atom_site_fract_z
In1 In 0.000 0.000 0.000
Hg1 Hg 0.250 0.250 0.250
I1 I 0.000 0.000 0.500


<Q>
# SCAN InHg2I, single point on PBEsol structure
# - mass density (Mg/m³) = 9.04
# - total moment (μB/atom) = 0.00
data_InHg2I
_cell_length_a 8.555
_cell_length_b 8.555
_cell_length_c 6.456
_cell_angle_alpha 90.00
_cell_angle_beta 90.00
_cell_angle_gamma 90.00
_symmetry_space_group_name_H-M 'I -4 2 d'
_symmetry_Int_Tables_number 122
_symmetry_space_group_name_Hall 'I -4 2bw'
loop_
_atom_site_label
_atom_site_type_symbol
_atom_site_fract_x
_atom_site_fract_y
_atom_site_fract_z
In1 In 0.000 0.000 0.000
Hg1 Hg 0.222 0.750 0.125
I1 I 0.000 0.000 0.500


Which of them is most stable? Easy: <Q>.


<P>
# SCAN HgSbI2N, single point on PBEsol structure
# - mass density (Mg/m³) = 8.07
# - total moment (μB/atom) = 0.00
data_HgSbI2N
_cell_length_a 5.077
_cell_length_b 5.077
_cell_length_c 4.712
_cell_angle_alpha 90.00
_cell_angle_beta 90.00
_cell_angle_gamma 90.00
_symmetry_space_group_name_H-M 'P 4/m m m'
_symmetry_Int_Tables_number 123
_symmetry_space_group_name_Hall '-P 4 2'
loop_
_atom_site_label
_atom_site_type_symbol
_atom_site_fract_x
_atom_site_fract_y
_atom_site_fract_z
Hg1 Hg 0.000 0.000 0.000
Sb1 Sb 0.500 0.500 0.000
I1 I 0.000 0.500 0.500
N1 N 0.500 0.500 0.500


<Q>
# SCAN HgSbI2N, single point on PBEsol structure
# - mass density (Mg/m³) = 6.82
# - total moment (μB/atom) = 0.00
data_HgSbI2N
_cell_length_a 6.046
_cell_length_b 6.046
_cell_length_c 3.934
_cell_angle_alpha 90.00
_cell_angle_beta 90.00
_cell_angle_gamma 90.00
_symmetry_space_group_name_H-M 'P 4/m m m'
_symmetry_Int_Tables_number 123
_symmetry_space_group_name_Hall '-P 4 2'
loop_
_atom_site_label
_atom_site_type_symbol
_atom_site_fract_x
_atom_site_fract_y
_atom_site_fract_z
Hg1 Hg 0.000 0.000 0.000
Sb1 Sb 0.500 0.500 0.500
I1 I 0.000 0.500 0.500
N1 N 0.500 0.500 0.000


Which of them is most stable? Easy: <Q>.


<P>
# SCAN HgSe2IN, single point on PBEsol structure
# - mass density (Mg/m³) = 7.13
# - total moment (μB/atom) = 0.00
data_HgSe2IN
_cell_length_a 5.433
_cell_length_b 5.433
_cell_length_c 3.940
_cell_angle_alpha 90.00
_cell_angle_beta 90.00
_cell_angle_gamma 90.00
_symmetry_space_group_name_H-M 'P 4/m m m'
_symmetry_Int_Tables_number 123
_symmetry_space_group_name_Hall '-P 4 2'
loop_
_atom_site_label
_atom_site_type_symbol
_atom_site_fract_x
_atom_site_fract_y
_atom_site_fract_z
Hg1 Hg 0.000 0.000 0.000
Se1 Se 0.000 0.500 0.500
I1 I 0.500 0.500 0.500
N1 N 0.500 0.500 0.000


<Q>
# SCAN HgSe2IN, single point on PBEsol structure
# - mass density (Mg/m³) = 7.01
# - total moment (μB/atom) = 0.40
data_HgSe2IN
_cell_length_a 5.382
_cell_length_b 5.382
_cell_length_c 4.082
_cell_angle_alpha 90.00
_cell_angle_beta 90.00
_cell_angle_gamma 90.00
_symmetry_space_group_name_H-M 'P 4/m m m'
_symmetry_Int_Tables_number 123
_symmetry_space_group_name_Hall '-P 4 2'
loop_
_atom_site_label
_atom_site_type_symbol
_atom_site_fract_x
_atom_site_fract_y
_atom_site_fract_z
Hg1 Hg 0.000 0.000 0.000
Se1 Se 0.000 0.500 0.000
I1 I 0.500 0.500 0.500
N1 N 0.000 0.000 0.500


Which of them is most stable? Easy: <P>.


<P>
# SCAN HgSb2IO, single point on PBEsol structure
# - mass density (Mg/m³) = 7.35
# - total moment (μB/atom) = 0.00
data_HgSb2IO
_cell_length_a 4.447
_cell_length_b 4.447
_cell_length_c 6.705
_cell_angle_alpha 90.00
_cell_angle_beta 90.00
_cell_angle_gamma 90.00
_symmetry_space_group_name_H-M 'P 4/m m m'
_symmetry_Int_Tables_number 123
_symmetry_space_group_name_Hall '-P 4 2'
loop_
_atom_site_label
_atom_site_type_symbol
_atom_site_fract_x
_atom_site_fract_y
_atom_site_fract_z
Hg1 Hg 0.000 0.000 0.000
Sb1 Sb 0.000 0.500 0.500
I1 I 0.500 0.500 0.000
O1 O 0.500 0.500 0.500


<Q>
# SCAN HgSb2IO, single point on PBEsol structure
# - mass density (Mg/m³) = 5.61
# - total moment (μB/atom) = 0.07
data_HgSb2IO
_cell_length_a 5.499
_cell_length_b 5.499
_cell_length_c 5.743
_cell_angle_alpha 90.00
_cell_angle_beta 90.00
_cell_angle_gamma 90.00
_symmetry_space_group_name_H-M 'P 4/m m m'
_symmetry_Int_Tables_number 123
_symmetry_space_group_name_Hall '-P 4 2'
loop_
_atom_site_label
_atom_site_type_symbol
_atom_site_fract_x
_atom_site_fract_y
_atom_site_fract_z
Hg1 Hg 0.000 0.000 0.000
Sb1 Sb 0.000 0.500 0.000
I1 I 0.000 0.000 0.500
O1 O 0.500 0.500 0.500


Which of them is most stable? Easy: <P>.


<P>
# SCAN HgTeI2O, single point on PBEsol structure
# - mass density (Mg/m³) = 7.15
# - total moment (μB/atom) = 0.06
data_HgTeI2O
_cell_length_a 5.892
_cell_length_b 5.892
_cell_length_c 3.998
_cell_angle_alpha 90.00
_cell_angle_beta 90.00
_cell_angle_gamma 90.00
_symmetry_space_group_name_H-M 'P 4/m m m'
_symmetry_Int_Tables_number 123
_symmetry_space_group_name_Hall '-P 4 2'
loop_
_atom_site_label
_atom_site_type_symbol
_atom_site_fract_x
_atom_site_fract_y
_atom_site_fract_z
Hg1 Hg 0.000 0.000 0.000
Te1 Te 0.500 0.500 0.500
I1 I 0.000 0.500 0.000
O1 O 0.000 0.000 0.500


<Q>
# SCAN HgTeI2O, single point on PBEsol structure
# - mass density (Mg/m³) = 5.33
# - total moment (μB/atom) = 0.70
data_HgTeI2O
_cell_length_a 5.751
_cell_length_b 5.751
_cell_length_c 5.628
_cell_angle_alpha 90.00
_cell_angle_beta 90.00
_cell_angle_gamma 90.00
_symmetry_space_group_name_H-M 'P 4/m m m'
_symmetry_Int_Tables_number 123
_symmetry_space_group_name_Hall '-P 4 2'
loop_
_atom_site_label
_atom_site_type_symbol
_atom_site_fract_x
_atom_site_fract_y
_atom_site_fract_z
Hg1 Hg 0.000 0.000 0.000
Te1 Te 0.000 0.000 0.500
I1 I 0.000 0.500 0.000
O1 O 0.500 0.500 0.500


Which of them is most stable? Easy: <P>.


<P>
# SCAN HgS2I, single point on PBEsol structure
# - mass density (Mg/m³) = 5.90
# - total moment (μB/atom) = 0.00
data_HgS2I
_cell_length_a 5.3276
_cell_length_b 5.3276
_cell_length_c 13.4613
_cell_angle_alpha 90.00
_cell_angle_beta 90.00
_cell_angle_gamma 120.00
_symmetry_space_group_name_H-M 'R -3 m'
_symmetry_Int_Tables_number 166
_symmetry_space_group_name_Hall '-R 3 2"'
loop_
_atom_site_label
_atom_site_type_symbol
_atom_site_fract_x
_atom_site_fract_y
_atom_site_fract_z
Hg1 Hg 0.0000 0.0000 0.0000
S1 S 0.0000 0.0000 0.1719
I1 I 0.0000 0.0000 0.5000


<Q>
# SCAN HgS2I, single point on PBEsol structure
# - mass density (Mg/m³) = 6.12
# - total moment (μB/atom) = 0.00
data_HgS2I
_cell_length_a 3.9550
_cell_length_b 3.9550
_cell_length_c 23.5501
_cell_angle_alpha 90.00
_cell_angle_beta 90.00
_cell_angle_gamma 120.00
_symmetry_space_group_name_H-M 'R -3 m'
_symmetry_Int_Tables_number 166
_symmetry_space_group_name_Hall '-R 3 2"'
loop_
_atom_site_label
_atom_site_type_symbol
_atom_site_fract_x
_atom_site_fract_y
_atom_site_fract_z
Hg1 Hg 0.0000 0.0000 0.0000
S1 S 0.0000 0.0000 0.3914
I1 I 0.0000 0.0000 0.5000


Which of them is most stable? Easy: <Q>.